An optimized crystal structure of AcNiAgBi. Source: the Alexandria database, functional PBE-GGA.

Theoretical density in g/cm3: 10.27
M_tot in μB/cell: 0.00
Electronic total energy in eV per atom: -4.33

a = 5.164 Å, b = 5.164 Å, c = 5.164 Å
α = 60.00°, β = 60.00°, γ = 60.00°
Element x y z (fractional)
Ni  0.750  0.750  0.750
Ac  0.000  0.000  0.000
Bi  0.500  0.500  0.500
Ag  0.250  0.250  0.250



An optimized crystal structure of Nd2Y3Cd2. Source: the Alexandria database, functional PBE-GGA.

Theoretical density in g/cm3: 6.15
M_tot in μB/cell: 0.00
Electronic total energy in eV per atom: -4.54
Polymorph energy (0 for the lowest one) in eV per formula unit: 0.00

a = 5.486 Å, b = 5.487 Å, c = 8.674 Å
α = 108.45°, β = 90.01°, γ = 119.99°
Element x y z (fractional)
Nd  0.925  0.849  0.273
Nd  0.075  0.151  0.727
Y  0.500  0.000  0.000
Y  0.656  0.312  0.468
Y  0.344  0.688  0.532
Cd  0.787  0.573  0.860
Cd  0.213  0.427  0.140